A) A relaxed structure of TePbI2O. Source: the Alexandria database, functional GGA-PBE.

Structure (CIF):
```
data_TePbI2O
_symmetry_space_group_name_H-M 'P 4/m m m'
_symmetry_Int_Tables_number 123
_symmetry_space_group_name_Hall '-P 4 2'
_cell_length_a 5.4587
_cell_length_b 5.4587
_cell_length_c 5.0270
_cell_angle_alpha 90.00
_cell_angle_beta 90.00
_cell_angle_gamma 90.00
loop_
_atom_site_label
_atom_site_type_symbol
_atom_site_fract_x
_atom_site_fract_y
_atom_site_fract_z
Te1 Te 0.0000 0.0000 0.0000
Pb1 Pb 0.5000 0.5000 0.0000
I1 I 0.0000 0.5000 0.5000
O1 O 0.0000 0.0000 0.5000
```

B) A relaxed structure of TePbI2O. Source: the Alexandria database, functional GGA-PBE.

Structure (CIF):
```
data_TePbI2O
_symmetry_space_group_name_H-M 'P 4/m m m'
_symmetry_Int_Tables_number 123
_symmetry_space_group_name_Hall '-P 4 2'
_cell_length_a 6.2029
_cell_length_b 6.2029
_cell_length_c 6.2550
_cell_angle_alpha 90.00
_cell_angle_beta 90.00
_cell_angle_gamma 90.00
loop_
_atom_site_label
_atom_site_type_symbol
_atom_site_fract_x
_atom_site_fract_y
_atom_site_fract_z
Te1 Te 0.0000 0.0000 0.0000
Pb1 Pb 0.0000 0.0000 0.5000
I1 I 0.0000 0.5000 0.5000
O1 O 0.5000 0.5000 0.0000
```

Of them, A) has the highest stability.

A) A relaxed structure of YPbIO2. Source: the Alexandria database, functional GGA-PBE.

Structure (CIF):
```
data_YPbIO2
_symmetry_space_group_name_H-M 'P 4/m m m'
_symmetry_Int_Tables_number 123
_symmetry_space_group_name_Hall '-P 4 2'
_cell_length_a 4.4991
_cell_length_b 4.4991
_cell_length_c 5.7782
_cell_angle_alpha 90.00
_cell_angle_beta 90.00
_cell_angle_gamma 90.00
loop_
_atom_site_label
_atom_site_type_symbol
_atom_site_fract_x
_atom_site_fract_y
_atom_site_fract_z
Y1 Y 0.0000 0.0000 0.0000
Pb1 Pb 0.5000 0.5000 0.5000
I1 I 0.5000 0.5000 0.0000
O1 O 0.0000 0.5000 0.5000
```

B) A relaxed structure of YPbIO2. Source: the Alexandria database, functional GGA-PBE.

Structure (CIF):
```
data_YPbIO2
_symmetry_space_group_name_H-M 'P 4/m m m'
_symmetry_Int_Tables_number 123
_symmetry_space_group_name_Hall '-P 4 2'
_cell_length_a 4.5051
_cell_length_b 4.5051
_cell_length_c 5.9894
_cell_angle_alpha 90.00
_cell_angle_beta 90.00
_cell_angle_gamma 90.00
loop_
_atom_site_label
_atom_site_type_symbol
_atom_site_fract_x
_atom_site_fract_y
_atom_site_fract_z
Y1 Y 0.0000 0.0000 0.0000
Pb1 Pb 0.5000 0.5000 0.5000
I1 I 0.0000 0.0000 0.5000
O1 O 0.0000 0.5000 0.0000
```

Of them, B) has the highest stability.

A) A relaxed structure of ZnPbIO2. Source: the Alexandria database, functional GGA-PBE.

Structure (CIF):
```
data_ZnPbIO2
_symmetry_space_group_name_H-M 'P 4/m m m'
_symmetry_Int_Tables_number 123
_symmetry_space_group_name_Hall '-P 4 2'
_cell_length_a 4.2197
_cell_length_b 4.2197
_cell_length_c 5.3154
_cell_angle_alpha 90.00
_cell_angle_beta 90.00
_cell_angle_gamma 90.00
loop_
_atom_site_label
_atom_site_type_symbol
_atom_site_fract_x
_atom_site_fract_y
_atom_site_fract_z
Zn1 Zn 0.0000 0.0000 0.0000
Pb1 Pb 0.5000 0.5000 0.5000
I1 I 0.0000 0.0000 0.5000
O1 O 0.0000 0.5000 0.0000
```

B) A relaxed structure of ZnPbIO2. Source: the Alexandria database, functional GGA-PBE.

Structure (CIF):
```
data_ZnPbIO2
_symmetry_space_group_name_H-M 'C m c m'
_symmetry_Int_Tables_number 63
_symmetry_space_group_name_Hall '-C 2c 2'
_cell_length_a 5.6242
_cell_length_b 15.1375
_cell_length_c 5.6276
_cell_angle_alpha 90.00
_cell_angle_beta 90.00
_cell_angle_gamma 90.00
loop_
_atom_site_label
_atom_site_type_symbol
_atom_site_fract_x
_atom_site_fract_y
_atom_site_fract_z
Zn1 Zn 0.0000 0.0199 0.2500
Pb1 Pb 0.0000 0.4140 0.2500
I1 I 0.0000 0.2118 0.7500
O1 O 0.2455 0.0000 0.0000
```

C) A relaxed structure of ZnPbIO2. Source: the Alexandria database, functional GGA-PBE.

Structure (CIF):
```
data_ZnPbIO2
_symmetry_space_group_name_H-M 'P 4/m m m'
_symmetry_Int_Tables_number 123
_symmetry_space_group_name_Hall '-P 4 2'
_cell_length_a 4.2617
_cell_length_b 4.2617
_cell_length_c 6.2028
_cell_angle_alpha 90.00
_cell_angle_beta 90.00
_cell_angle_gamma 90.00
loop_
_atom_site_label
_atom_site_type_symbol
_atom_site_fract_x
_atom_site_fract_y
_atom_site_fract_z
Zn1 Zn 0.0000 0.0000 0.0000
Pb1 Pb 0.5000 0.5000 0.5000
I1 I 0.5000 0.5000 0.0000
O1 O 0.0000 0.5000 0.5000
```

Of them, B) has the highest stability.

A) A relaxed structure of ZnPbI2O. Source: the Alexandria database, functional GGA-PBE.

Structure (CIF):
```
data_ZnPbI2O
_symmetry_space_group_name_H-M 'P 4/m m m'
_symmetry_Int_Tables_number 123
_symmetry_space_group_name_Hall '-P 4 2'
_cell_length_a 5.5555
_cell_length_b 5.5555
_cell_length_c 3.9871
_cell_angle_alpha 90.00
_cell_angle_beta 90.00
_cell_angle_gamma 90.00
loop_
_atom_site_label
_atom_site_type_symbol
_atom_site_fract_x
_atom_site_fract_y
_atom_site_fract_z
Zn1 Zn 0.0000 0.0000 0.0000
Pb1 Pb 0.5000 0.5000 0.5000
I1 I 0.0000 0.5000 0.0000
O1 O 0.0000 0.0000 0.5000
```

B) A relaxed structure of ZnPbI2O. Source: the Alexandria database, functional GGA-PBE.

Structure (CIF):
```
data_ZnPbI2O
_symmetry_space_group_name_H-M 'P 4/m m m'
_symmetry_Int_Tables_number 123
_symmetry_space_group_name_Hall '-P 4 2'
_cell_length_a 6.1666
_cell_length_b 6.1666
_cell_length_c 4.2071
_cell_angle_alpha 90.00
_cell_angle_beta 90.00
_cell_angle_gamma 90.00
loop_
_atom_site_label
_atom_site_type_symbol
_atom_site_fract_x
_atom_site_fract_y
_atom_site_fract_z
Zn1 Zn 0.0000 0.0000 0.0000
Pb1 Pb 0.5000 0.5000 0.5000
I1 I 0.0000 0.5000 0.5000
O1 O 0.5000 0.5000 0.0000
```

Of them, A) has the highest stability.

A) A relaxed structure of PdIO2. Source: the Alexandria database, functional GGA-PBE.

Structure (CIF):
```
data_PdIO2
_symmetry_space_group_name_H-M 'I -4 2 d'
_symmetry_Int_Tables_number 122
_symmetry_space_group_name_Hall 'I -4 2bw'
_cell_length_a 4.1395
_cell_length_b 4.1395
_cell_length_c 13.8176
_cell_angle_alpha 90.00
_cell_angle_beta 90.00
_cell_angle_gamma 90.00
loop_
_atom_site_label
_atom_site_type_symbol
_atom_site_fract_x
_atom_site_fract_y
_atom_site_fract_z
Pd1 Pd 0.0000 0.0000 0.0000
I1 I 0.0000 0.0000 0.5000
O1 O 0.2457 0.2500 0.6250
```

B) A relaxed structure of PdIO2. Source: the Alexandria database, functional GGA-PBE.

Structure (CIF):
```
data_PdIO2
_symmetry_space_group_name_H-M 'R -3 m'
_symmetry_Int_Tables_number 166
_symmetry_space_group_name_Hall '-R 3 2"'
_cell_length_a 3.1065
_cell_length_b 3.1065
_cell_length_c 21.7080
_cell_angle_alpha 90.00
_cell_angle_beta 90.00
_cell_angle_gamma 120.00
loop_
_atom_site_label
_atom_site_type_symbol
_atom_site_fract_x
_atom_site_fract_y
_atom_site_fract_z
Pd1 Pd 0.0000 0.0000 0.0000
I1 I 0.0000 0.0000 0.5000
O1 O 0.0000 0.0000 0.0892
```

C) A relaxed structure of PdIO2. Source: the Alexandria database, functional GGA-PBE.

Structure (CIF):
```
data_PdIO2
_symmetry_space_group_name_H-M 'F m -3 m'
_symmetry_Int_Tables_number 225
_symmetry_space_group_name_Hall '-F 4 2 3'
_cell_length_a 5.9526
_cell_length_b 5.9526
_cell_length_c 5.9526
_cell_angle_alpha 90.00
_cell_angle_beta 90.00
_cell_angle_gamma 90.00
loop_
_atom_site_label
_atom_site_type_symbol
_atom_site_fract_x
_atom_site_fract_y
_atom_site_fract_z
Pd1 Pd 0.0000 0.0000 0.0000
I1 I 0.0000 0.0000 0.5000
O1 O 0.2500 0.2500 0.2500
```

D) A relaxed structure of PdIO2. Source: the Alexandria database, functional GGA-PBE.

Structure (CIF):
```
data_PdIO2
_symmetry_space_group_name_H-M 'R -3 m'
_symmetry_Int_Tables_number 166
_symmetry_space_group_name_Hall '-R 3 2"'
_cell_length_a 3.4613
_cell_length_b 3.4613
_cell_length_c 18.2958
_cell_angle_alpha 90.00
_cell_angle_beta 90.00
_cell_angle_gamma 120.00
loop_
_atom_site_label
_atom_site_type_symbol
_atom_site_fract_x
_atom_site_fract_y
_atom_site_fract_z
Pd1 Pd 0.0000 0.0000 0.0000
I1 I 0.0000 0.0000 0.5000
O1 O 0.0000 0.0000 0.3822
```

Of them, D) has the highest stability.

A) A relaxed structure of Pd2IO. Source: the Alexandria database, functional GGA-PBE.

Structure (CIF):
```
data_Pd2IO
_symmetry_space_group_name_H-M 'F m -3 m'
_symmetry_Int_Tables_number 225
_symmetry_space_group_name_Hall '-F 4 2 3'
_cell_length_a 6.3651
_cell_length_b 6.3651
_cell_length_c 6.3651
_cell_angle_alpha 90.00
_cell_angle_beta 90.00
_cell_angle_gamma 90.00
loop_
_atom_site_label
_atom_site_type_symbol
_atom_site_fract_x
_atom_site_fract_y
_atom_site_fract_z
Pd1 Pd 0.2500 0.2500 0.2500
I1 I 0.0000 0.0000 0.0000
O1 O 0.0000 0.0000 0.5000
```

B) A relaxed structure of Pd2IO. Source: the Alexandria database, functional GGA-PBE.

Structure (CIF):
```
data_Pd2IO
_symmetry_space_group_name_H-M 'I -4 2 d'
_symmetry_Int_Tables_number 122
_symmetry_space_group_name_Hall 'I -4 2bw'
_cell_length_a 5.2721
_cell_length_b 5.2721
_cell_length_c 12.1131
_cell_angle_alpha 90.00
_cell_angle_beta 90.00
_cell_angle_gamma 90.00
loop_
_atom_site_label
_atom_site_type_symbol
_atom_site_fract_x
_atom_site_fract_y
_atom_site_fract_z
Pd1 Pd 0.0584 0.2500 0.1250
I1 I 0.0000 0.0000 0.5000
O1 O 0.0000 0.0000 0.0000
```

Of them, B) has the highest stability.